1.
Entry from Alexandria: a relaxed NbCrCl2 crystal (GGA-PBE).

Summary:
* energy relative to the lowest polymorph listed for this composition: 534 meV per atom
* symmetry: I-42d
* formation energy from raw total energies: 553.1 meV/atom

Lattice parameters (Å, degrees): 6.243 6.243 6.243 127.41 127.41 77.58
Sites, in units of the cell vectors:
1 Nb 0.000 0.000 0.000
2 Nb 0.750 0.250 0.500
3 Cr 0.250 0.750 0.500
4 Cr 0.500 0.500 0.000
5 Cl 0.162 0.625 0.037
6 Cl 0.375 0.412 0.537
7 Cl 0.588 0.125 0.963
8 Cl 0.875 0.838 0.463


2.
Entry from Alexandria: a relaxed NbCrCl2 crystal (GGA-PBE).

Summary:
* energy relative to the lowest polymorph listed for this composition: 0 meV per atom
* symmetry: R-3m
* formation energy from raw total energies: 18.9 meV/atom

Lattice parameters (Å, degrees): 8.594 8.594 8.594 21.63 21.63 21.63
Sites, in units of the cell vectors:
1 Nb 0.000 0.000 0.000
2 Cr 0.500 0.500 0.500
3 Cl 0.099 0.099 0.099
4 Cl 0.901 0.901 0.901